# 1
Density functional theory data (GGA-PBE) for a geometry-optimized VRhN structure.

Values from the calculation:
crystal system = monoclinic
energy above the most stable polymorph in this dataset = 107 meV per atom

```
data_VRhN
_chemical_formula_sum 'V4 Rh4 N4'
_space_group_name_H-M_alt 'C 1 m 1'
_space_group_IT_number 8
_cell_length_a 10.593
_cell_length_b 2.840
_cell_length_c 5.134
_cell_angle_alpha 90.00
_cell_angle_beta 115.28
_cell_angle_gamma 90.00
loop_
_space_group_symop_operation_xyz
'x,y,z'
'x,-y,z'
'x+1/2,y+1/2,z'
'x+1/2,-y+1/2,z'
loop_
_atom_site_label
_atom_site_fract_x
_atom_site_fract_y
_atom_site_fract_z
_atom_site_occupancy
V1 0.000 0.000 0.000 1
V2 0.228 0.000 0.891 1
Rh1 0.000 0.500 0.552 1
Rh2 0.255 0.500 0.491 1
N1 0.137 0.500 0.013 1
N2 0.413 0.000 0.136 1
```

# 2
Density functional theory data (GGA-PBE) for a geometry-optimized Ac2MgSnO6 structure.

Values from the calculation:
crystal system = monoclinic

```
data_Ac2MgSnO6
_chemical_formula_sum 'Ac4 Mg2 Sn2 O12'
_space_group_name_H-M_alt 'P 1 21/c 1'
_space_group_IT_number 14
_cell_length_a 5.812
_cell_length_b 5.833
_cell_length_c 10.065
_cell_angle_alpha 90.00
_cell_angle_beta 125.24
_cell_angle_gamma 90.00
loop_
_space_group_symop_operation_xyz
'x,y,z'
'-x,-y,-z'
'-x,y+1/2,-z+1/2'
'x,-y+1/2,z+1/2'
loop_
_atom_site_label
_atom_site_fract_x
_atom_site_fract_y
_atom_site_fract_z
_atom_site_occupancy
Ac1 0.242 0.031 0.250 1
Mg1 0.000 0.000 0.500 1
Sn1 0.500 0.000 0.000 1
O1 0.177 0.216 0.958 1
O2 0.241 0.718 0.957 1
O3 0.329 0.019 0.751 1
```

Number 1: formation energy from raw total energies -511 meV/atom, M_tot 0.000 μB per formula unit. Number 2: formation energy from raw total energies -2785 meV/atom, M_tot 0.000 μB per formula unit.